w.
## ScGaSe3 (PBE)

Data for a relaxed ScGaSe3 crystal.

```
ScGaSe3
1.0
-1.3594 3.1294 3.5544
1.6939 -3.1319 3.4053
4.4224 2.1616 -0.2118
Sc Ga Se
1 1 3
Direct
0.5000 0.5000 0.5000
0.0000 0.0000 0.0000
0.0000 0.5000 0.0000
0.0000 0.0000 0.5000
0.5000 0.0000 0.0000
```

Properties
Space-group type: Pm-3m, No. 221
Magnetic moment: 0.000 μB per formula unit

***

x.
## ScGaSe3 (PBE)

Data for a relaxed ScGaSe3 crystal.

```
ScGaSe3
1.0
5.2078 0.0000 0.0000
0.0000 5.2078 0.0000
0.0000 0.0000 5.2078
Sc Ga Se
1 1 3
Direct
0.0000 0.0000 0.0000
0.5000 0.5000 0.5000
0.0000 0.5000 0.0000
0.0000 0.0000 0.5000
0.5000 0.0000 0.0000
```

Properties
Space-group type: Pm-3m, No. 221
Magnetic moment: 0.000 μB per formula unit

***

y.
## ScGaSe3 (PBE)

Data for a relaxed ScGaSe3 crystal.

```
ScGaSe3
1.0
6.6304 0.0000 0.0000
0.0000 7.4561 0.0000
0.0000 0.0000 10.5460
Sc Ga Se
4 4 12
Direct
0.5000 0.0000 0.0000
0.0000 0.5000 0.5000
0.0000 0.5000 0.0000
0.5000 0.0000 0.5000
0.5336 0.3361 0.2500
0.0336 0.1639 0.7500
0.4664 0.6639 0.7500
0.9664 0.8361 0.2500
0.8384 0.1861 0.9395
0.3384 0.3139 0.4395
0.3384 0.3139 0.0605
0.1616 0.8139 0.4395
0.1616 0.8139 0.0605
0.6616 0.6861 0.5605
0.6616 0.6861 0.9395
0.8384 0.1861 0.5605
0.6385 0.9937 0.2500
0.1385 0.5063 0.7500
0.3615 0.0063 0.7500
0.8615 0.4937 0.2500
```

Properties
Space-group type: Pnma, No. 62
Magnetic moment: 0.000 μB per formula unit

***

Pick y: it beats the second-best structure by 504 meV/atom.

***

w.
## ScGa3Se (PBE)

Data for a relaxed ScGa3Se crystal.

```
ScGa3Se
1.0
-2.3600 1.0764 -4.6286
4.4208 -1.3984 -2.5793
-1.7432 -5.0038 -0.2748
Sc Ga Se
1 3 1
Direct
0.0000 0.0000 0.0000
0.0000 0.5000 0.0000
0.0000 0.0000 0.5000
0.5000 0.0000 0.0000
0.5000 0.5000 0.5000
```

Properties
Space-group type: Pm-3m, No. 221
Magnetic moment: 1.465 μB per formula unit

***

x.
## ScGa3Se (PBE)

Data for a relaxed ScGa3Se crystal.

```
ScGa3Se
1.0
-2.3201 -4.4512 0.3284
3.4156 -1.5325 3.3599
-2.8730 1.7727 3.7292
Sc Ga Se
1 3 1
Direct
0.5000 0.5000 0.5000
0.0000 0.5000 0.0000
0.0000 0.0000 0.5000
0.5000 0.0000 0.0000
0.0000 0.0000 0.0000
```

Properties
Space-group type: Pm-3m, No. 221
Magnetic moment: 0.000 μB per formula unit

***

Pick x: it beats the second-best structure by 153 meV/atom.

***

w.
## Sc2Ga2Si (PBE)

Data for a relaxed Sc2Ga2Si crystal.

```
Sc2Ga2Si
1.0
-5.2360 3.4787 2.9846
2.0436 -2.2842 6.2475
2.4840 3.3767 0.4221
Sc Si Ga
4 2 4
Direct
0.3378 0.8378 0.0000
0.8378 0.6622 0.0000
0.6622 0.1622 0.0000
0.1622 0.3378 0.0000
0.0000 0.0000 0.0000
0.5000 0.5000 0.0000
0.1420 0.6420 0.5000
0.6420 0.8580 0.5000
0.8580 0.3580 0.5000
0.3580 0.1420 0.5000
```

Properties
Space-group type: P4/mbm, No. 127
Magnetic moment: 0.000 μB per formula unit

***

x.
## Sc2Ga2Si (PBE)

Data for a relaxed Sc2Ga2Si crystal.

```
Sc2Ga2Si
1.0
-3.3078 1.1364 -5.6012
-5.6485 -1.6367 3.0037
-0.5512 3.9824 1.1335
Sc Si Ga
4 2 4
Direct
0.1720 0.6720 0.5000
0.6720 0.8280 0.5000
0.8280 0.3280 0.5000
0.3280 0.1720 0.5000
0.0000 0.0000 0.0000
0.5000 0.5000 0.0000
0.3677 0.8677 0.0000
0.8677 0.6323 0.0000
0.6323 0.1323 0.0000
0.1323 0.3677 0.0000
```

Properties
Space-group type: P4/mbm, No. 127
Magnetic moment: 0.000 μB per formula unit

***

Pick x: it beats the second-best structure by 241 meV/atom.

***

w.
## ScGa3Si (PBE)

Data for a relaxed ScGa3Si crystal.

```
ScGa3Si
1.0
-4.1452 0.9522 2.9127
0.2741 -4.7650 1.9478
3.0522 1.7211 3.7810
Sc Si Ga
1 1 3
Direct
0.0000 0.0000 0.0000
0.5000 0.5000 0.5000
0.0000 0.5000 0.0000
0.0000 0.0000 0.5000
0.5000 0.0000 0.0000
```

Properties
Space-group type: Pm-3m, No. 221
Magnetic moment: 0.358 μB per formula unit

***

x.
## ScGa3Si (PBE)

Data for a relaxed ScGa3Si crystal.

```
ScGa3Si
1.0
4.7770 0.0000 0.0000
0.0000 4.7770 0.0000
0.0000 0.0000 4.7770
Sc Si Ga
1 1 3
Direct
0.5000 0.5000 0.5000
0.0000 0.0000 0.0000
0.0000 0.5000 0.0000
0.0000 0.0000 0.5000
0.5000 0.0000 0.0000
```

Properties
Space-group type: Pm-3m, No. 221
Magnetic moment: 0.000 μB per formula unit

***

Pick x: it beats the second-best structure by 555 meV/atom.

***

w.
## SmScGa (PBE)

Data for a relaxed SmScGa crystal.

```
SmScGa
1.0
3.6659 0.0000 0.0000
0.0000 4.8476 0.0000
0.0000 -2.4238 4.1982
Sc Ga Sm
1 1 1
Direct
0.4831 0.6667 0.3333
0.5240 0.3333 0.6667
0.9929 0.0000 0.0000
```

Properties
Space-group type: P3m1, No. 156
Magnetic moment: 0.000 μB per formula unit

***

x.
## SmScGa (PBE)

Data for a relaxed SmScGa crystal.

```
SmScGa
1.0
-3.4015 2.7103 -2.1928
-2.6457 -1.8815 -3.6311
-4.7193 -0.9914 0.6855
Sc Ga Sm
1 1 1
Direct
0.5000 0.5000 0.5000
0.2500 0.2500 0.2500
0.0000 0.0000 0.0000
```

Properties
Space-group type: F-43m, No. 216
Magnetic moment: 0.003 μB per formula unit

***

Pick w: it beats the second-best structure by 98 meV/atom.

***

w.
## SmScGa (PBE)

Data for a relaxed SmScGa crystal.

```
SmScGa
1.0
-0.1098 -2.5417 -2.2324
1.0421 -2.1504 2.3970
-6.5240 1.1986 1.5219
Sc Sm Ga
1 1 1
Direct
0.3087 0.3087 0.6175
0.0140 0.0140 0.0281
0.6772 0.6772 0.3545
```

Properties
Space-group type: I4mm, No. 107
Magnetic moment: 0.000 μB per formula unit

***

x.
## SmScGa (PBE)

Data for a relaxed SmScGa crystal.

```
SmScGa
1.0
-1.8201 -7.4349 -0.7987
7.2092 -1.2621 -4.6798
0.6734 2.9254 8.3113
Sm Sc Ga
6 6 6
Direct
0.7532 0.0481 0.5962
0.1570 0.9519 0.4038
0.3501 0.7501 0.0003
0.3499 0.2499 0.9997
0.1563 0.4515 0.4029
0.7534 0.5485 0.5971
0.0102 0.0000 0.0000
0.0102 0.5000 0.0000
0.4964 0.3720 0.7431
0.7533 0.6280 0.2569
0.7533 0.1289 0.2569
0.4964 0.8711 0.7431
0.7528 0.2495 0.9990
0.7537 0.7505 0.0010
0.4201 0.1669 0.3334
0.0867 0.8331 0.6666
0.0867 0.3335 0.6666
0.4201 0.6665 0.3334
```

Properties
Space-group type: Ima2, No. 46
Magnetic moment: 0.766 μB per formula unit

***

Pick x: it beats the second-best structure by 89 meV/atom.

***

w.
## Sm2Sc3Ga4 (PBE)

Data for a relaxed Sm2Sc3Ga4 crystal.

```
Sm2Sc3Ga4
1.0
7.3805 0.0316 0.0000
-2.3957 7.2535 0.0000
0.0000 0.0000 7.6337
Sm Sc Ga
4 6 8
Direct
0.5726 0.1929 0.3238
0.9274 0.8071 0.8238
0.4274 0.8071 0.6762
0.0726 0.1929 0.1762
0.0000 0.5000 0.5000
0.5000 0.5000 0.0000
0.7487 0.2479 0.8254
0.7513 0.7521 0.3254
0.2513 0.7521 0.1746
0.2487 0.2479 0.6746
0.8665 0.0804 0.5353
0.6335 0.9196 0.0353
0.1335 0.9196 0.4647
0.3665 0.0804 0.9647
0.8727 0.4974 0.1215
0.6273 0.5026 0.6215
0.1273 0.5026 0.8785
0.3727 0.4974 0.3785
```

Properties
Space-group type: P2_1/c, No. 14
Magnetic moment: 0.000 μB per formula unit

***

x.
## Sm2Sc3Ga4 (PBE)

Data for a relaxed Sm2Sc3Ga4 crystal.

```
Sm2Sc3Ga4
1.0
-6.0626 -1.9444 1.2023
0.8752 -6.0904 -5.4365
5.6431 -3.6851 5.0368
Sm Sc Ga
4 6 8
Direct
0.1093 0.5831 0.2187
0.8907 0.4169 0.7813
0.3907 0.0831 0.7813
0.6093 0.9169 0.2187
0.0000 0.0000 0.0000
0.5000 0.5000 0.0000
0.5345 0.7500 0.5690
0.9655 0.2500 0.4310
0.4655 0.2500 0.4310
0.0345 0.7500 0.5690
0.7116 0.7500 0.9232
0.7884 0.2500 0.0768
0.2884 0.2500 0.0768
0.2116 0.7500 0.9232
0.1841 0.9578 0.3683
0.8159 0.0422 0.6317
0.3159 0.4578 0.6317
0.6841 0.5422 0.3683
```

Properties
Space-group type: Cmce, No. 64
Magnetic moment: 0.000 μB per formula unit

***

Pick w: it beats the second-best structure by 144 meV/atom.

***

w.
## ScGa2Sn2 (PBE)

Data for a relaxed ScGa2Sn2 crystal.

```
ScGa2Sn2
1.0
4.1848 0.0000 0.0000
0.0000 4.1848 0.0000
2.0924 2.0924 6.9560
Sc Sn Ga
1 2 2
Direct
0.0000 0.0000 0.0000
0.7500 0.2500 0.5000
0.2500 0.7500 0.5000
0.4122 0.4122 0.1757
0.5878 0.5878 0.8243
```

Properties
Space-group type: I4/mmm, No. 139
Magnetic moment: 0.000 μB per formula unit

***

x.
## ScGa2Sn2 (PBE)

Data for a relaxed ScGa2Sn2 crystal.

```
ScGa2Sn2
1.0
-6.3245 -2.3324 3.2727
2.9895 -6.8086 0.9248
1.4064 1.0924 3.4965
Sc Sn Ga
2 4 4
Direct
0.0000 0.0000 0.0000
0.5000 0.5000 0.0000
0.1702 0.6702 0.5000
0.6702 0.8298 0.5000
0.8298 0.3298 0.5000
0.3298 0.1702 0.5000
0.3723 0.8723 0.0000
0.8723 0.6277 0.0000
0.6277 0.1277 0.0000
0.1277 0.3723 0.0000
```

Properties
Space-group type: P4/mbm, No. 127
Magnetic moment: 0.000 μB per formula unit

***

y.
## ScGa2Sn2 (PBE)

Data for a relaxed ScGa2Sn2 crystal.

```
ScGa2Sn2
1.0
-1.3367 -1.9278 -3.1100
2.1410 -3.0971 0.9996
-5.4853 -5.2232 3.1557
Sc Sn Ga
1 2 2
Direct
0.0000 0.0000 0.0000
0.4023 0.4023 0.1954
0.5977 0.5977 0.8046
0.7500 0.2500 0.5000
0.2500 0.7500 0.5000
```

Properties
Space-group type: I4/mmm, No. 139
Magnetic moment: 0.000 μB per formula unit

***

z.
## ScGa2Sn2 (PBE)

Data for a relaxed ScGa2Sn2 crystal.

```
ScGa2Sn2
1.0
-4.0145 -1.5056 0.5337
0.7852 -0.6440 4.0901
-1.8273 11.8581 2.2180
Sc Ga Sn
2 4 4
Direct
0.3531 0.2500 0.7062
0.6469 0.7500 0.2938
0.0422 0.7500 0.0844
0.4550 0.7500 0.9099
0.9578 0.2500 0.9156
0.5450 0.2500 0.0901
0.7497 0.2500 0.4993
0.2503 0.7500 0.5007
0.8648 0.7500 0.7296
0.1352 0.2500 0.2704
```

Properties
Space-group type: Cmcm, No. 63
Magnetic moment: 0.000 μB per formula unit

***

Pick z: it beats the second-best structure by 47 meV/atom.